The following is a PBE-GGA calculation of a relaxed YZrPb crystal, from Alexandria.

Structure (POSCAR):
```
YZrPb
1.0
-6.6057 2.4467 -3.0809
-7.4526 -0.3857 -1.5564
-1.2675 1.9929 2.3423
Pb Zr Y
1 1 1
Direct
0.0054 0.0054 0.9946
0.6650 0.6650 0.3350
0.3296 0.3296 0.6704
```

Summary:
* DOS at the Fermi energy: 3.37 states/eV per cell
* M_tot: 0.0 μB per cell
* E: -19.14 eV/f.u.
* energy of formation from the pure elements: -0.139 eV/atom
* crystal system: orthorhombic
* symmetry: Fmm2, No. 42

The following is a PBE-GGA calculation of a relaxed TaRuPb2 crystal, from Alexandria.

Structure (POSCAR):
```
TaRuPb2
1.0
0.0000 3.4361 3.4361
3.4361 0.0000 3.4361
3.4361 3.4361 0.0000
Pb Ta Ru
2 1 1
Direct
0.7500 0.7500 0.7500
0.2500 0.2500 0.2500
0.5000 0.5000 0.5000
0.0000 0.0000 0.0000
```

Summary:
* DOS at the Fermi energy: 3.30 states/eV per cell
* M_tot: 1.8 μB per cell
* E: -25.59 eV/f.u.
* energy of formation from the pure elements: 0.738 eV/atom
* crystal system: cubic
* symmetry: Fm-3m, No. 225

The following is a PBE-GGA calculation of a relaxed As2RuSe crystal, from Alexandria.

Structure (POSCAR):
```
As2RuSe
1.0
2.9407 0.0000 0.0000
0.0000 2.9412 0.0000
0.0000 0.0000 8.7532
As Ru Se
2 1 1
Direct
0.0000 0.0000 0.4334
0.0000 0.0000 0.0666
0.5000 0.5000 0.2500
0.5000 0.5000 0.7500
```

Summary:
* E_form (uncorrected): 0.03 eV/atom
* DOS at the Fermi energy: 2.27 states/eV per cell
* M_tot: 0.0 μB per cell
* E: -21.93 eV/f.u.
* crystal system: tetragonal
* symmetry: P4/mmm, No. 123

The following is a PBE-GGA calculation of a relaxed IrS2Cl crystal, from Alexandria.

Structure (POSCAR):
```
IrS2Cl
1.0
0.0000 3.1219 3.1219
3.1219 0.0000 3.1219
3.1219 3.1219 0.0000
S Cl Ir
2 1 1
Direct
0.7500 0.7500 0.7500
0.2500 0.2500 0.2500
0.0000 0.0000 0.0000
0.5000 0.5000 0.5000
```

Summary:
* E_form (uncorrected): 0.84 eV/atom
* DOS at the Fermi energy: 2.12 states/eV per cell
* M_tot: 0.0 μB per cell
* E: -15.60 eV/f.u.
* crystal system: cubic
* symmetry: Fm-3m, No. 225

The following is a PBE-GGA calculation of a relaxed NbTc3H crystal, from Alexandria.

Structure (POSCAR):
```
NbTc3H
1.0
4.7708 0.0000 0.0000
0.0000 4.7708 0.0000
0.0000 0.0000 4.7708
Nb Tc H
1 3 1
Direct
0.0000 0.0000 0.0000
0.0000 0.0000 0.5000
0.5000 0.0000 0.0000
0.0000 0.5000 0.0000
0.5000 0.5000 0.5000
```

Summary:
* DOS at the Fermi energy: 6.40 states/eV per cell
* M_tot: 3.9 μB per cell
* E: -32.11 eV/f.u.
* crystal system: cubic
* symmetry: Pm-3m, No. 221

The following is a PBE-GGA calculation of a relaxed Zr4ScTe crystal, from Alexandria.

Structure (POSCAR):
```
Zr4ScTe
1.0
0.0000 4.1738 4.1738
4.1738 0.0000 4.1738
4.1738 4.1738 0.0000
Te Sc Zr
1 1 4
Direct
0.0000 0.0000 0.0000
0.7500 0.7500 0.7500
0.3784 0.3784 0.3784
0.3784 0.3784 0.8648
0.3784 0.8648 0.3784
0.8648 0.3784 0.3784
```

Summary:
* E_form (uncorrected): 0.18 eV/atom
* DOS at the Fermi energy: 11.94 states/eV per cell
* M_tot: 0.5 μB per cell
* E: -42.57 eV/f.u.
* crystal system: cubic
* symmetry: F-43m, No. 216

The following is a PBE-GGA calculation of a relaxed Li3CdH crystal, from Alexandria.

Structure (POSCAR):
```
Li3CdH
1.0
-0.7396 3.7884 1.4628
-2.9011 0.5476 -2.8849
-2.8418 -1.5450 2.5644
Li Cd H
3 1 1
Direct
0.5000 0.0000 0.0000
0.0000 0.5000 0.0000
0.0000 0.0000 0.5000
0.5000 0.5000 0.5000
0.0000 0.0000 0.0000
```

Summary:
* DOS at the Fermi energy: 1.44 states/eV per cell
* M_tot: 0.0 μB per cell
* E: -11.13 eV/f.u.
* crystal system: cubic
* symmetry: Pm-3m, No. 221

The following is a PBE-GGA calculation of a relaxed Mg3ZnBr8 crystal, from Alexandria.

Structure (POSCAR):
```
Mg3ZnBr8
1.0
7.7100 0.0000 0.0000
-3.8550 5.4762 -3.8281
0.0000 0.3684 8.4325
Br Mg Zn
8 3 1
Direct
0.7386 0.4772 0.2124
0.2362 0.4725 0.2111
0.7422 0.9784 0.2110
0.2362 0.9784 0.2110
0.7638 0.0216 0.7890
0.7638 0.5275 0.7889
0.2614 0.5228 0.7876
0.2578 0.0216 0.7890
0.0000 0.5000 0.0000
0.5000 0.0000 0.0000
0.5000 0.5000 0.0000
0.0000 0.0000 0.0000
```

Summary:
* E_form (uncorrected): -1.31 eV/atom
* DOS at the Fermi energy: 0.00 states/eV per cell
* M_tot: 0.0 μB per cell
* E: -35.17 eV/f.u.
* crystal system: monoclinic
* symmetry: C2/m, No. 12

The following is a PBE-GGA calculation of a relaxed In2Hg3Pb6 crystal, from Alexandria.

Structure (POSCAR):
```
In2Hg3Pb6
1.0
-3.3788 1.9214 9.0370
-6.7131 2.7208 -6.6580
1.7552 -9.6421 -0.8633
In Hg Pb
4 6 12
Direct
0.5000 0.0000 0.0000
0.0000 0.5000 0.0000
0.5000 0.5000 0.5000
0.0000 0.0000 0.5000
0.0000 0.7762 0.7762
0.7762 0.7762 0.0000
0.2238 0.0000 0.2238
0.7762 0.0000 0.7762
0.2238 0.2238 0.0000
0.0000 0.2238 0.2238
0.7046 0.3523 0.3523
0.3523 0.6477 0.0000
0.6477 0.2954 0.6477
0.0000 0.6477 0.3523
0.6477 0.0000 0.3523
0.0000 0.3523 0.6477
0.3523 0.3523 0.7046
0.2954 0.6477 0.6477
0.3523 0.0000 0.6477
0.3523 0.7046 0.3523
0.6477 0.3523 0.0000
0.6477 0.6477 0.2954
```

Summary:
* DOS at the Fermi energy: 7.65 states/eV per cell
* M_tot: 0.0 μB per cell
* E: -27.30 eV/f.u.
* energy of formation from the pure elements: 0.121 eV/atom
* crystal system: cubic
* symmetry: Im-3m, No. 229

The following is a PBE-GGA calculation of a relaxed TmGe crystal, from Alexandria.

Structure (POSCAR):
```
TmGe
1.0
4.0665 0.0000 0.0000
0.0000 4.0665 0.0000
-2.0332 -2.0332 10.6326
Ge Tm
4 4
Direct
0.5815 0.0815 0.1629
0.8315 0.8315 0.6629
0.1685 0.1685 0.3371
0.9185 0.4185 0.8371
0.6939 0.6939 0.3877
0.0561 0.5561 0.1123
0.4439 0.9439 0.8877
0.3061 0.3061 0.6123
```

Summary:
* DOS at the Fermi energy: 5.04 states/eV per cell
* M_tot: 0.0 μB per cell
* E: -10.73 eV/f.u.
* energy of formation from the pure elements: -0.821 eV/atom
* crystal system: tetragonal
* symmetry: I4_1/amd, No. 141

The following is a PBE-GGA calculation of a relaxed K2Rb4F crystal, from Alexandria.

Structure (POSCAR):
```
K2Rb4F
1.0
5.9403 0.0000 0.0000
0.0000 5.9403 0.0000
2.9701 2.9701 12.6336
K Rb F
2 4 1
Direct
0.6959 0.6959 0.6082
0.3041 0.3041 0.3918
0.1195 0.1195 0.7610
0.5000 0.0000 0.0000
0.0000 0.5000 0.0000
0.8805 0.8805 0.2390
0.0000 0.0000 0.0000
```

Summary:
* E_form (uncorrected): -0.69 eV/atom
* DOS at the Fermi energy: 4.47 states/eV per cell
* M_tot: 0.0 μB per cell
* E: -12.74 eV/f.u.
* crystal system: tetragonal
* symmetry: I4/mmm, No. 139

The following is a PBE-GGA calculation of a relaxed Dy5ThP6 crystal, from Alexandria.

Structure (POSCAR):
```
Dy5ThP6
1.0
-3.8212 4.9617 3.0905
-2.8734 -6.1861 -1.4992
4.0522 -1.8680 5.3739
Dy P Th
5 6 1
Direct
0.5000 0.5000 0.5000
0.3334 0.6666 0.0000
0.8336 0.1664 0.5000
0.6666 0.3334 0.0000
0.1664 0.8336 0.5000
0.5798 0.9159 0.7476
0.4202 0.0841 0.2524
0.9159 0.5798 0.7476
0.2523 0.2523 0.7487
0.7477 0.7477 0.2513
0.0841 0.4202 0.2524
0.0000 0.0000 0.0000
```

Summary:
* DOS at the Fermi energy: 3.27 states/eV per cell
* M_tot: 0.0 μB per cell
* E: -82.31 eV/f.u.
* energy of formation from the pure elements: -1.619 eV/atom
* crystal system: monoclinic
* symmetry: C2/m, No. 12

The following is a PBE-GGA calculation of a relaxed FePS2I crystal, from Alexandria.

Structure (POSCAR):
```
FePS2I
1.0
4.3570 0.0000 0.0000
0.0000 4.3570 0.0000
0.0000 0.0000 5.0945
S Fe I P
2 1 1 1
Direct
0.5000 0.0000 0.0000
0.0000 0.5000 0.0000
0.0000 0.0000 0.0000
0.5000 0.5000 0.5000
0.0000 0.0000 0.5000
```

Summary:
* E_form (uncorrected): 0.45 eV/atom
* DOS at the Fermi energy: 3.85 states/eV per cell
* M_tot: 2.5 μB per cell
* E: -21.42 eV/f.u.
* crystal system: tetragonal
* symmetry: P4/mmm, No. 123

The following is a PBE-GGA calculation of a relaxed NdTlS2 crystal, from Alexandria.

Structure (POSCAR):
```
NdTlS2
1.0
-0.1537 -2.5154 -3.3240
3.1386 -0.0198 -2.7474
4.4552 -6.3329 1.9688
S Nd Tl
2 1 1
Direct
0.0695 0.0695 0.7914
0.2679 0.2679 0.1962
0.6669 0.6669 0.9992
0.4956 0.4956 0.5132
```

Summary:
* E_form (uncorrected): -1.43 eV/atom
* DOS at the Fermi energy: 0.00 states/eV per cell
* M_tot: 0.0 μB per cell
* E: -21.11 eV/f.u.
* crystal system: trigonal
* symmetry: R3m, No. 160

The following is a PBE-GGA calculation of a relaxed Y4NbN5 crystal, from Alexandria.

Structure (POSCAR):
```
Y4NbN5
1.0
-0.7197 -4.6634 -1.0159
4.8827 -3.2659 0.0663
-1.1113 -3.3495 4.6965
N Y Nb
5 4 1
Direct
0.7185 0.1892 0.3805
0.0989 0.6195 0.1892
0.4743 0.0000 0.0000
0.9077 0.3805 0.8108
0.2881 0.8108 0.6195
0.7989 0.8013 0.6026
0.6002 0.6026 0.1987
0.4015 0.3974 0.8013
0.2028 0.1987 0.3974
0.0194 0.0000 0.0000
```

Summary:
* E_form (uncorrected): -1.52 eV/atom
* DOS at the Fermi energy: 2.66 states/eV per cell
* M_tot: 0.0 μB per cell
* E: -92.76 eV/f.u.
* crystal system: tetragonal
* symmetry: I4, No. 79

The following is a PBE-GGA calculation of a relaxed Nd2Si2Ge crystal, from Alexandria.

Structure (POSCAR):
```
Nd2Si2Ge
1.0
7.2671 0.0000 0.0000
0.0000 7.2671 0.0000
0.0000 0.0000 8.6883
Nd Si Ge
8 8 4
Direct
0.3176 0.1825 0.0000
0.1824 0.6825 0.5000
0.1825 0.6824 0.0000
0.8176 0.3175 0.5000
0.6824 0.8175 0.0000
0.6825 0.8176 0.5000
0.8175 0.3176 0.0000
0.3175 0.1824 0.5000
0.3843 0.8843 0.7500
0.8843 0.6157 0.2500
0.1157 0.3843 0.2500
0.6157 0.1157 0.7500
0.8843 0.6157 0.7500
0.6157 0.1157 0.2500
0.1157 0.3843 0.7500
0.3843 0.8843 0.2500
0.5000 0.5000 0.7501
0.0000 0.0000 0.2501
0.5000 0.5000 0.2499
0.0000 0.0000 0.7499
```

Summary:
* E_form (uncorrected): -0.63 eV/atom
* DOS at the Fermi energy: 9.12 states/eV per cell
* M_tot: 0.0 μB per cell
* E: -28.16 eV/f.u.
* crystal system: tetragonal
* symmetry: P4/mbm, No. 127

The following is a PBE-GGA calculation of a relaxed PuPa2Pb crystal, from Alexandria.

Structure (POSCAR):
```
PuPa2Pb
1.0
-2.6019 0.6983 -1.7688
-0.2859 -3.1072 -0.8061
-5.6894 -1.4947 7.7790
Pu Pa Pb
1 2 1
Direct
0.5000 0.5000 0.0000
0.0000 0.0000 0.2334
0.0000 0.0000 0.7666
0.5000 0.5000 0.5000
```

Summary:
* DOS at the Fermi energy: 8.80 states/eV per cell
* M_tot: 4.8 μB per cell
* E: -36.47 eV/f.u.
* energy of formation from the pure elements: 0.141 eV/atom
* crystal system: tetragonal
* symmetry: P4/mmm, No. 123

The following is a PBE-GGA calculation of a relaxed LiGaSn crystal, from Alexandria.

Structure (POSCAR):
```
LiGaSn
1.0
-2.2481 5.3978 0.2094
-3.9585 -1.6476 -0.0256
0.0809 -0.3463 9.7963
Sn Ga Li
4 4 4
Direct
0.1431 0.2500 0.9203
0.6431 0.2500 0.5797
0.3569 0.7500 0.4203
0.8569 0.7500 0.0797
0.3988 0.7500 0.7504
0.1012 0.2500 0.2504
0.6012 0.2500 0.2496
0.8988 0.7500 0.7496
0.3636 0.7500 0.0994
0.8636 0.7500 0.4006
0.6364 0.2500 0.9006
0.1364 0.2500 0.5994
```

Summary:
* DOS at the Fermi energy: 3.36 states/eV per cell
* M_tot: 0.0 μB per cell
* E: -9.55 eV/f.u.
* energy of formation from the pure elements: -0.201 eV/atom
* crystal system: orthorhombic
* symmetry: Pnma, No. 62

The following is a PBE-GGA calculation of a relaxed NiTePd crystal, from Alexandria.

Structure (POSCAR):
```
NiTePd
1.0
6.5157 0.0000 0.0123
0.0000 3.8843 0.0000
-2.0541 0.0000 8.6783
Te Pd Ni
4 4 4
Direct
0.6990 0.0000 0.1794
0.6990 0.5000 0.6794
0.3010 0.5000 0.3206
0.3010 0.0000 0.8206
0.7925 0.0000 0.9023
0.2075 0.5000 0.5977
0.2075 0.0000 0.0977
0.7925 0.5000 0.4023
0.9290 0.0000 0.6277
0.0710 0.0000 0.3723
0.0710 0.5000 0.8723
0.9290 0.5000 0.1277
```

Summary:
* E_form (uncorrected): -0.20 eV/atom
* DOS at the Fermi energy: 7.85 states/eV per cell
* M_tot: 0.0 μB per cell
* E: -14.70 eV/f.u.
* crystal system: monoclinic
* symmetry: C2/m, No. 12

The following is a PBE-GGA calculation of a relaxed VAg2Pd4 crystal, from Alexandria.

Structure (POSCAR):
```
VAg2Pd4
1.0
2.7654 0.0000 0.0000
0.0000 4.5367 -0.8504
0.0000 -0.5998 9.3267
Pd V Ag
4 1 2
Direct
0.0000 0.9260 0.8521
0.5000 0.3773 0.7545
0.5000 0.6227 0.2455
0.0000 0.0740 0.1479
0.0000 0.5000 0.0000
0.5000 0.7888 0.5776
0.5000 0.2112 0.4224
```

Summary:
* DOS at the Fermi energy: 5.19 states/eV per cell
* M_tot: 0.9 μB per cell
* E: -35.50 eV/f.u.
* energy of formation from the pure elements: 0.014 eV/atom
* crystal system: orthorhombic
* symmetry: Cmmm, No. 65

The following is a PBE-GGA calculation of a relaxed Li9Ge4 crystal, from Alexandria.

Structure (POSCAR):
```
Li9Ge4
1.0
4.4617 0.0164 0.0000
-2.2474 3.8543 0.0000
0.0000 0.0000 23.7333
Li Ge
18 8
Direct
0.8323 0.1677 0.5933
0.5011 0.4989 0.3249
0.4989 0.5011 0.8249
0.1663 0.8337 0.5169
0.8347 0.1653 0.1317
0.1658 0.8342 0.7500
0.8337 0.1663 0.0169
0.4989 0.5011 0.6751
0.1677 0.8323 0.0933
0.8347 0.1653 0.3683
0.1653 0.8347 0.6317
0.1653 0.8347 0.8683
0.8323 0.1677 0.9067
0.1663 0.8337 0.9831
0.8337 0.1663 0.4831
0.8342 0.1658 0.2500
0.5011 0.4989 0.1751
0.1677 0.8323 0.4067
0.1677 0.8323 0.1993
0.5006 0.4994 0.0543
0.8323 0.1677 0.8007
0.1677 0.8323 0.3007
0.4994 0.5006 0.9457
0.4994 0.5006 0.5543
0.5006 0.4994 0.4457
0.8323 0.1677 0.6993
```

Summary:
* DOS at the Fermi energy: 8.04 states/eV per cell
* M_tot: 0.0 μB per cell
* E: -40.13 eV/f.u.
* energy of formation from the pure elements: -0.341 eV/atom
* crystal system: orthorhombic
* symmetry: Cmcm, No. 63

The following is a PBE-GGA calculation of a relaxed AcLaNdHg crystal, from Alexandria.

Structure (POSCAR):
```
AcLaNdHg
1.0
5.7370 0.0000 0.0000
2.8685 4.9684 0.0000
2.8685 1.6561 4.6843
Hg Ac La Nd
1 1 1 1
Direct
0.5000 0.5000 0.5000
0.0000 0.0000 0.0000
0.2500 0.2500 0.2500
0.7500 0.7500 0.7500
```

Summary:
* DOS at the Fermi energy: 5.93 states/eV per cell
* M_tot: 0.0 μB per cell
* E: -14.23 eV/f.u.
* energy of formation from the pure elements: -0.031 eV/atom
* crystal system: cubic
* symmetry: F-43m, No. 216

The following is a PBE-GGA calculation of a relaxed LiZrCr3 crystal, from Alexandria.

Structure (POSCAR):
```
LiZrCr3
1.0
4.9264 0.0000 0.0000
0.0000 4.9264 0.0000
0.0000 0.0000 4.9264
Cr Li Zr
3 1 1
Direct
0.0000 0.0000 0.5000
0.0000 0.5000 0.0000
0.5000 0.0000 0.0000
0.5000 0.5000 0.5000
0.0000 0.0000 0.0000
```

Summary:
* DOS at the Fermi energy: 2.74 states/eV per cell
* M_tot: 10.8 μB per cell
* E: -31.52 eV/f.u.
* energy of formation from the pure elements: 1.562 eV/atom
* crystal system: cubic
* symmetry: Pm-3m, No. 221

The following is a PBE-GGA calculation of a relaxed K2SrPaTe4 crystal, from Alexandria.

Structure (POSCAR):
```
K2SrPaTe4
1.0
4.6659 0.0000 0.0000
0.0000 8.1452 0.1697
0.0000 -2.8234 8.1533
Te Sr Pa K
4 1 1 2
Direct
0.0000 0.7612 0.2158
0.0000 0.2388 0.7842
0.5000 0.2194 0.2108
0.5000 0.7806 0.7892
0.5000 0.5000 0.0000
0.0000 0.0000 0.0000
0.5000 0.0000 0.5000
0.0000 0.5000 0.5000
```

Summary:
* E_form (uncorrected): -1.21 eV/atom
* DOS at the Fermi energy: 5.51 states/eV per cell
* M_tot: 1.0 μB per cell
* E: -35.60 eV/f.u.
* crystal system: monoclinic
* symmetry: P2/m, No. 10